[1]
# Hg3Os

Hg3Os after structural relaxation (PBE, Alexandria via LeMat-Bulk).

Computed properties:
The size of the total moment comes out at 0.75 Bohr magnetons per cell. The value obtained for the formation enthalpy at 0 K is 0.681 eV/atom. The polymorph energy (0 for the lowest one) comes out at 0.080 eV per atom. Its space group is No. 187. Its total energy is -2.353 eV per atom. The calculation puts the density of states at the Fermi level at 3.0 states/eV/f.u.

```
Hg3Os
1.0
2.919 0.000 0.000
-1.459 2.527 0.000
0.000 0.000 11.482
Hg Os
3 1
Cartesian
0.000 0.000 0.000
1.459 0.842 3.287
1.459 0.842 8.195
0.000 0.000 5.741
```

=====

[2]
# Hg2Os

Hg2Os after structural relaxation (PBE, Alexandria via LeMat-Bulk).

Computed properties:
The size of the total moment comes out at 0.00 Bohr magnetons per cell. The value obtained for the formation enthalpy at 0 K is 0.603 eV/atom. Its space group is No. 62. Its total energy is -3.341 eV per atom. The calculation puts the density of states at the Fermi level at 0.6 states/eV/f.u.

```
Hg2Os
1.0
4.148 0.000 0.000
0.000 5.214 0.000
0.000 0.000 13.525
Hg Os
8 4
Cartesian
0.533 1.304 0.777
0.535 3.911 4.676
1.539 1.304 11.438
1.541 3.911 7.540
2.607 1.304 5.985
2.608 3.911 2.087
3.613 1.304 8.849
3.614 3.911 12.747
0.518 1.304 3.951
1.556 3.911 10.713
2.592 1.304 2.811
3.630 3.911 9.574
```

=====

[3]
# HgOs

HgOs after structural relaxation (PBE, Alexandria via LeMat-Bulk).

Computed properties:
The size of the total moment comes out at 0.00 Bohr magnetons per cell. The value obtained for the formation enthalpy at 0 K is 0.809 eV/atom. The polymorph energy (0 for the lowest one) comes out at 0.409 eV per atom. Its space group is No. 139. Its total energy is -4.956 eV per atom. The calculation puts the density of states at the Fermi level at 1.7 states/eV/f.u.

```
HgOs
1.0
-4.518 4.518 1.872
4.518 -4.518 1.872
4.518 4.518 -1.872
Hg Os
4 4
Cartesian
1.440 1.440 0.000
3.078 -3.078 1.872
-3.078 3.078 1.872
3.078 3.078 1.872
4.518 1.303 0.000
1.303 4.518 0.000
3.215 0.000 1.872
0.000 3.215 1.872
```

=====

[4]
# Hg4Os

Hg4Os after structural relaxation (PBE, Alexandria via LeMat-Bulk).

Computed properties:
The size of the total moment comes out at 1.03 Bohr magnetons per cell. The value obtained for the formation enthalpy at 0 K is 0.682 eV/atom. Its space group is No. 221. Its total energy is -1.806 eV per atom. The calculation puts the density of states at the Fermi level at 4.9 states/eV/f.u.

```
Hg4Os
1.0
5.327 0.000 0.000
0.000 5.327 0.000
0.000 0.000 5.327
Hg Os
4 1
Cartesian
0.000 0.000 0.000
0.000 2.664 2.664
2.664 0.000 2.664
2.664 2.664 0.000
2.664 2.664 2.664
```

=====

[5]
# HgOs

HgOs after structural relaxation (PBE, Alexandria via LeMat-Bulk).

Computed properties:
The size of the total moment comes out at 0.13 Bohr magnetons per cell. The value obtained for the formation enthalpy at 0 K is 0.752 eV/atom. The polymorph energy (0 for the lowest one) comes out at 0.352 eV per atom. Its space group is No. 194. Its total energy is -5.013 eV per atom. The calculation puts the density of states at the Fermi level at 1.8 states/eV/f.u.

```
HgOs
1.0
8.103 0.000 0.000
-4.052 7.018 0.000
0.000 0.000 4.123
Hg Os
6 6
Cartesian
0.000 2.338 1.031
-2.027 5.849 1.031
2.024 1.169 3.092
2.027 5.849 1.031
6.079 1.169 3.092
4.052 4.680 3.092
-1.298 3.929 3.092
1.298 3.929 3.092
0.000 6.177 3.092
4.052 0.841 1.031
2.754 3.088 1.031
5.349 3.088 1.031
```

=====

[6]
# HgOs

HgOs after structural relaxation (PBE, Alexandria via LeMat-Bulk).

Computed properties:
The size of the total moment comes out at 0.00 Bohr magnetons per cell. The value obtained for the formation enthalpy at 0 K is 0.946 eV/atom. The polymorph energy (0 for the lowest one) comes out at 0.546 eV per atom. Its space group is No. 59. Its total energy is -4.820 eV per atom. The calculation puts the density of states at the Fermi level at 2.2 states/eV/f.u.

```
HgOs
1.0
2.906 0.000 0.000
0.000 4.607 0.000
0.000 0.000 5.168
Hg Os
2 2
Cartesian
0.726 1.152 0.485
2.179 3.455 4.683
0.726 3.455 2.208
2.179 1.152 2.960
```

=====

[7]
# HgOs

HgOs after structural relaxation (PBE, Alexandria via LeMat-Bulk).

Computed properties:
The size of the total moment comes out at 0.00 Bohr magnetons per cell. The value obtained for the formation enthalpy at 0 K is 0.675 eV/atom. The polymorph energy (0 for the lowest one) comes out at 0.275 eV per atom. Its space group is No. 92. Its total energy is -5.091 eV per atom. The calculation puts the density of states at the Fermi level at 1.2 states/eV/f.u.

```
HgOs
1.0
6.851 0.000 0.000
0.000 6.851 0.000
0.000 0.000 6.845
Hg Os
8 8
Cartesian
0.535 1.644 2.187
1.644 0.535 4.658
1.781 3.960 3.899
2.891 5.070 6.369
3.960 1.781 2.947
5.070 2.891 0.476
5.207 6.316 1.235
6.316 5.207 5.610
0.584 4.588 1.410
1.163 2.841 6.544
2.263 6.267 2.012
2.841 1.163 0.301
4.010 5.689 3.723
4.588 0.584 5.435
5.689 4.010 3.122
6.267 2.263 4.833
```

=====

[8]
# Hg3Os

Hg3Os after structural relaxation (PBE, Alexandria via LeMat-Bulk).

Computed properties:
The size of the total moment comes out at 0.00 Bohr magnetons per cell. The value obtained for the formation enthalpy at 0 K is 0.805 eV/atom. The polymorph energy (0 for the lowest one) comes out at 0.204 eV per atom. Its space group is No. 123. Its total energy is -2.229 eV per atom. The calculation puts the density of states at the Fermi level at 2.3 states/eV/f.u.

```
Hg3Os
1.0
5.336 0.000 0.000
0.000 5.336 0.000
0.000 0.000 2.834
Hg Os
3 1
Cartesian
0.000 0.000 0.000
0.000 2.668 1.417
2.668 0.000 1.417
2.668 2.668 0.000
```